[1]
Below is a PBEsol-optimized structure of LaRe2Ir, with properties calculated at the meta-GGA SCAN level.

Cell: 4.748 4.748 4.748 Å, 124.94 124.94 81.64°
Element x y z (fractional)
La  0.000  0.000  0.000
Re  0.500  0.500  0.000
Re  0.750  0.250  0.500
Ir  0.250  0.750  0.500

Values from the calculation:
Total magnetization   0.00 μB per formula unit
Crystal system   tetragonal
DOS(E_F)   1.081 states/eV/atom

=====

[2]
Below is a PBEsol-optimized structure of LaRe2Ir, with properties calculated at the meta-GGA SCAN level.

Cell: 2.769 2.769 9.022 Å, 90.00 90.00 90.00°
Element x y z (fractional)
La  0.000  0.000  0.000
Re  0.500  0.500  0.292
Re  0.500  0.500  0.708
Ir  0.000  0.000  0.500

Values from the calculation:
Total magnetization   0.00 μB per formula unit
Crystal system   tetragonal
DOS(E_F)   0.949 states/eV/atom

=====

Number 1: E_tot -63.493 eV/atom, formation enthalpy at 0 K 0.607 eV per atom, offset from the most stable computed form 0.2068 eV/atom. Number 2: E_tot -63.700 eV/atom, formation enthalpy at 0 K 0.400 eV per atom, offset from the most stable computed form 0.0000 eV/atom.